{"formula": "ZrTaSi2", "functional": "PBE", "state": "optimized geometry", "spacegroup": "No. 225", "formation_energy_uncorrected_mev_per_atom": -191.5, "magnetic_moment_mub_per_cell": 0.00, "lattice": [[0.0000, 3.2301, 3.2301], [3.2301, 0.0000, 3.2301], [3.2301, 3.2301, 0.0000]], "species": ["Ta", "Si", "Zr", "Si"], "fractional_positions": [[0.5000, 0.5000, 0.5000], [0.7500, 0.7500, 0.7500], [0.0000, 0.0000, 0.0000], [0.2500, 0.2500, 0.2500]]}